A plane-wave DFT calculation with GGA-PBE was carried out for a relaxed structure of Pr4Ho7Tl.

Output
Space-group type = C2/m, No. 12
Total moment = 0.010 μB/f.u.
ΔH_f (0 K) = 3.598 kcal/mol of atoms
D(E_F) = 18.39 states/eV/f.u.

abc: 5.5823 13.4371 6.3598
angles: 95.23 63.97 78.01
Fractional coordinates of all 12 atoms:
Pr 0.3880 0.2754 0.9486
Ho 0.9745 0.6222 0.4287
Pr 0.6120 0.7246 0.0514
Ho 0.1430 0.1165 0.5974
Ho 0.5000 0.0000 0.0000
Ho 0.8570 0.8835 0.4026
Pr 0.7241 0.2247 0.3270
Ho 0.3290 0.5317 0.8102
Ho 0.6710 0.4683 0.1898
Ho 0.0255 0.3778 0.5713
Tl 0.0000 0.0000 0.0000
Pr 0.2759 0.7753 0.6730

---

A plane-wave DFT calculation with GGA-PBE was carried out for a relaxed structure of PrHo2Tl9.

Output
Space-group type = P4/mmm, No. 123
Total moment = 0.000 μB/f.u.
ΔH_f (0 K) = -5.863 kcal/mol of atoms
D(E_F) = 3.30 states/eV/f.u.

abc: 4.7918 4.7918 14.3734
angles: 90.00 90.00 90.00
Fractional coordinates of all 12 atoms:
Tl 0.0000 0.5000 0.8288
Tl 0.5000 0.5000 0.0000
Tl 0.5000 0.0000 0.5000
Tl 0.0000 0.5000 0.5000
Ho 0.0000 0.0000 0.3352
Tl 0.5000 0.0000 0.1712
Pr 0.0000 0.0000 0.0000
Tl 0.5000 0.0000 0.8288
Tl 0.0000 0.5000 0.1712
Tl 0.5000 0.5000 0.3349
Ho 0.0000 0.0000 0.6648
Tl 0.5000 0.5000 0.6651

---

A plane-wave DFT calculation with GGA-PBE was carried out for a relaxed structure of PrHo2Tl2.

Output
Space-group type = P2_1/m, No. 11
Total moment = 0.000 μB/f.u.
ΔH_f (0 K) = -6.353 kcal/mol of atoms
Distance to the lowest polymorph of the same formula = 0.0 kJ/mol of atoms
D(E_F) = 5.28 states/eV/f.u.

abc: 3.7992 5.4850 14.2313
angles: 90.00 97.69 90.00
Fractional coordinates of all 10 atoms:
Tl 0.3567 0.2500 0.7119
Tl 0.6433 0.7500 0.2881
Tl 0.4532 0.7500 0.9085
Ho 0.2363 0.7500 0.4733
Ho 0.9504 0.2500 0.9004
Tl 0.5468 0.2500 0.0915
Ho 0.0496 0.7500 0.0996
Ho 0.7637 0.2500 0.5267
Pr 0.8531 0.7500 0.7036
Pr 0.1469 0.2500 0.2964

---

- What is the ΔH_f (0 K) in the first record?
  3.598 kcal/mol of atoms